Record 1
## Ta2SnMoSe (GGA-PBEsol)

Data for crystalline Ta2SnMoSe at its relaxed geometry.

Unit cell a=4.611 b=4.611 c=5.176 alpha=90.00 beta=90.00 gamma=90.00
Each line ends with the local moment (μB).
Fractional positions:
Mo1 0.500 0.500 0.500  1.84
Sn1 0.000 0.000 0.500  -0.03
Se1 0.000 0.000 0.000  0.01
Ta1 0.000 0.500 0.000  -0.12
Ta2 0.500 0.000 0.000  -0.12

Results
As for the energy relative to the elements, uncorrected: 7.199 eV per formula unit.

Record 2
## TaMoSe2 (GGA-PBEsol)

Data for crystalline TaMoSe2 at its relaxed geometry.

Unit cell a=3.129 b=5.141 c=5.141 alpha=61.91 beta=72.28 gamma=72.28
Fractional positions:
Mo1 0.000 0.500 0.500
Se1 0.259 0.741 0.741
Se2 0.741 0.259 0.259
Ta1 0.500 0.000 0.000

Results
As for the energy relative to the elements, uncorrected: 1.200 eV per formula unit. For the energy above the lowest structure with this stoichiometry, the calculation gives 384 meV per atom.

Record 3
## TaMoSe2 (GGA-PBEsol)

Data for crystalline TaMoSe2 at its relaxed geometry.

Unit cell a=3.102 b=4.344 c=5.308 alpha=113.79 beta=90.00 gamma=90.00
Fractional positions:
Mo1 0.000 0.000 0.500
Se1 0.000 0.000 0.000
Se2 0.500 0.500 0.500
Ta1 0.500 0.500 0.000

Results
As for the energy relative to the elements, uncorrected: -0.334 eV per formula unit. For the energy above the lowest structure with this stoichiometry, the calculation gives 0 meV per atom.

Record 4
## TaMoSe2 (GGA-PBEsol)

Data for crystalline TaMoSe2 at its relaxed geometry.

Unit cell a=3.124 b=4.103 c=5.343 alpha=90.00 beta=90.00 gamma=90.00
Fractional positions:
Mo1 0.000 0.500 0.500
Se1 0.000 0.000 0.000
Se2 0.500 0.000 0.500
Ta1 0.500 0.500 0.000

Results
As for the energy relative to the elements, uncorrected: 1.224 eV per formula unit. For the energy above the lowest structure with this stoichiometry, the calculation gives 390 meV per atom.

Record 5
## TbMo6Se8 (GGA-PBEsol)

Data for crystalline TbMo6Se8 at its relaxed geometry.

Unit cell a=6.655 b=6.655 c=6.655 alpha=88.72 beta=88.72 gamma=88.72
Fractional positions:
Tb1 0.000 0.000 0.000
Mo1 0.576 0.440 0.769
Mo2 0.769 0.576 0.440
Mo3 0.440 0.769 0.576
Mo4 0.424 0.560 0.231
Mo5 0.231 0.424 0.560
Mo6 0.560 0.231 0.424
Se1 0.763 0.763 0.763
Se2 0.237 0.237 0.237
Se3 0.628 0.878 0.239
Se4 0.239 0.628 0.878
Se5 0.878 0.239 0.628
Se6 0.372 0.122 0.761
Se7 0.761 0.372 0.122
Se8 0.122 0.761 0.372

Results
As for the energy relative to the elements, uncorrected: -11.249 eV per formula unit.

Record 6
## Tc2MoSe (GGA-PBEsol)

Data for crystalline Tc2MoSe at its relaxed geometry.

Unit cell a=2.851 b=4.019 c=5.283 alpha=90.00 beta=104.54 gamma=90.00
Fractional positions:
Mo1 0.467 0.000 0.511
Se1 0.071 0.500 0.731
Tc1 0.161 0.000 0.002
Tc2 0.801 0.500 0.255

Results
As for the energy relative to the elements, uncorrected: 0.614 eV per formula unit.

Record 7
## TcMo2Se (GGA-PBEsol)

Data for crystalline TcMo2Se at its relaxed geometry.

Unit cell a=2.983 b=4.416 c=5.203 alpha=115.11 beta=106.66 gamma=90.00
Fractional positions:
Mo1 0.989 0.989 0.979
Mo2 0.777 0.277 0.554
Se1 0.504 0.504 0.009
Tc1 0.229 0.729 0.459

Results
As for the energy relative to the elements, uncorrected: 0.439 eV per formula unit.

Record 8
## Tc2MoSe (GGA-PBEsol)

Data for crystalline Tc2MoSe at its relaxed geometry.

Unit cell a=2.869 b=4.064 c=5.171 alpha=90.00 beta=102.85 gamma=90.00
Fractional positions:
Mo1 0.500 0.500 0.000
Se1 0.500 0.500 0.500
Tc1 0.870 0.000 0.743
Tc2 0.130 0.000 0.257

Results
As for the energy relative to the elements, uncorrected: 0.967 eV per formula unit.